# 1
# CsSrP2

Crystalline CsSrP2 at its relaxed geometry (PBE, the Alexandria database).

The structure in POSCAR format:
```
CsSrP2
1.0
-2.894 3.541 -3.094
-3.915 0.197 3.888
1.375 9.636 4.816
Cs Sr P
2 2 4
direct
0.000 0.000 0.000
0.750 0.250 0.500
0.500 0.500 0.000
0.250 0.750 0.500
0.375 0.125 0.250
0.375 0.625 0.250
0.375 0.625 0.750
0.875 0.625 0.750
```

Results
E above lowest polymorph: 0 meV per atom
space-group type: I4_1/amd (141)
formation energy from the elements: -0.125 eV per atom

---

# 2
# Rb3AlBr6

Crystalline Rb3AlBr6 at its relaxed geometry (PBE, the Alexandria database).

The structure in POSCAR format:
```
Rb3AlBr6
1.0
-2.010 -4.975 7.647
5.424 -6.907 -3.186
7.315 3.878 4.328
Rb Al Br
6 2 12
direct
0.434 0.930 0.754
0.930 0.754 0.434
0.246 0.566 0.070
0.754 0.434 0.930
0.070 0.246 0.566
0.566 0.070 0.246
0.000 0.000 0.000
0.500 0.500 0.500
0.255 0.941 0.080
0.059 0.920 0.745
0.560 0.762 0.452
0.920 0.745 0.059
0.452 0.560 0.762
0.238 0.548 0.440
0.762 0.452 0.560
0.548 0.440 0.238
0.080 0.255 0.941
0.440 0.238 0.548
0.941 0.080 0.255
0.745 0.059 0.920
```

Results
E_form (uncorrected): -1423 kJ/mol of formula units
space-group type: R-3 (148)

---

# 3
# Ag2Pb2I

Crystalline Ag2Pb2I at its relaxed geometry (PBE, the Alexandria database).

The structure in POSCAR format:
```
Ag2Pb2I
1.0
8.853 0.000 0.000
0.000 8.853 0.000
0.000 0.000 3.643
Pb I Ag
4 2 4
direct
0.316 0.816 0.000
0.816 0.684 0.000
0.684 0.184 0.000
0.184 0.316 0.000
0.000 0.000 0.000
0.500 0.500 0.000
0.113 0.613 0.500
0.613 0.887 0.500
0.887 0.387 0.500
0.387 0.113 0.500
```

Results
E_form (uncorrected): 43 kJ/mol of formula units
E above lowest polymorph: 14 meV per atom
space-group type: P4/mbm (127)

---

# 4
# Pu2AlAu3

Crystalline Pu2AlAu3 at its relaxed geometry (PBE, the Alexandria database).

The structure in POSCAR format:
```
Pu2AlAu3
1.0
5.578 -0.546 -1.261
-2.332 5.096 -1.261
0.389 0.545 8.937
Pu Al Au
4 2 6
direct
0.250 0.750 0.500
0.760 0.760 0.000
0.750 0.250 0.500
0.240 0.240 0.000
0.333 0.333 0.667
0.667 0.667 0.333
0.651 0.177 0.828
0.823 0.349 0.172
0.349 0.823 0.172
0.177 0.651 0.828
0.829 0.829 0.657
0.171 0.171 0.343
```

Results
E above lowest polymorph: 0 meV per atom
space-group type: Fmmm (69)
formation energy from the elements: -0.492 eV per atom

---

# 5
# PdSe3Br

Crystalline PdSe3Br at its relaxed geometry (PBE, the Alexandria database).

The structure in POSCAR format:
```
PdSe3Br
1.0
5.141 0.000 0.000
0.000 5.141 0.000
0.000 0.000 5.141
Se Br Pd
3 1 1
direct
0.000 0.500 0.000
0.000 0.000 0.500
0.500 0.000 0.000
0.000 0.000 0.000
0.500 0.500 0.500
```

Results
E_form (uncorrected): 557 kJ/mol of formula units
E above lowest polymorph: 641 meV per atom
space-group type: Pm-3m (221)

---

# 6
# K2UF8

Crystalline K2UF8 at its relaxed geometry (PBE, the Alexandria database).

The structure in POSCAR format:
```
K2UF8
1.0
-1.110 -3.419 1.963
0.042 -2.814 -4.877
7.506 1.414 2.432
K U F
2 1 8
direct
0.805 0.305 0.610
0.195 0.695 0.390
0.500 0.000 0.000
0.399 0.651 0.799
0.605 0.864 0.210
0.805 0.802 0.611
0.998 0.206 0.997
0.195 0.198 0.389
0.395 0.136 0.790
0.601 0.349 0.201
0.002 0.794 0.003
```

Results
E_form (uncorrected): -3196 kJ/mol of formula units
space-group type: C2/m (12)

---

# 7
# LiNdSbPt

Crystalline LiNdSbPt at its relaxed geometry (PBE, the Alexandria database).

The structure in POSCAR format:
```
LiNdSbPt
1.0
4.911 0.000 0.000
2.455 4.253 0.000
2.455 1.418 4.010
Sb Nd Pt Li
1 1 1 1
direct
0.500 0.500 0.500
0.000 0.000 0.000
0.750 0.750 0.750
0.250 0.250 0.250
```

Results
E_form (uncorrected): -287 kJ/mol of formula units
space-group type: F-43m (216)

---

# 8
# Co2Ni5Pd2

Crystalline Co2Ni5Pd2 at its relaxed geometry (PBE, the Alexandria database).

The structure in POSCAR format:
```
Co2Ni5Pd2
1.0
3.606 0.000 0.000
-1.803 5.442 0.684
0.000 1.113 5.650
Co Ni Pd
2 5 2
direct
0.226 0.451 0.668
0.774 0.549 0.332
0.328 0.657 0.998
0.672 0.343 0.002
0.120 0.240 0.325
0.880 0.760 0.675
0.000 0.000 0.000
0.557 0.115 0.673
0.443 0.885 0.327
```

Results
E above lowest polymorph: 0 meV per atom
space-group type: C2/m (12)
formation energy from the elements: 0.030 eV per atom

---

no.,volume (Å³ per cell)
1,308.92
2,815.22
3,285.53
4,250.84
5,135.85
6,167.06
7,83.74
8,108.11